Compound: Ti2BOsPt
Source: Alexandria via LeMat-Bulk
Functional: PBE-GGA
Structure: optimized geometry

Properties
* volume: 71.2 Å³/cell

The structure in POSCAR format:
```
Ti2BOsPt
1.0
4.230 0.000 0.000
0.000 4.230 0.000
0.000 0.000 3.980
Ti B Os Pt
2 1 1 1
direct
0.000 0.500 0.000 Ti
0.500 0.000 0.000 Ti
0.000 0.000 0.000 B
0.500 0.500 0.500 Os
0.000 0.000 0.500 Pt
```


Compound: VBOsPt2
Source: Alexandria via LeMat-Bulk
Functional: PBE-GGA
Structure: optimized geometry

Properties
* volume: 106.1 Å³/cell

The structure in POSCAR format:
```
VBOsPt2
1.0
4.883 0.000 0.000
0.000 4.883 0.000
0.000 0.000 4.448
V B Os Pt
1 1 1 2
direct
0.000 0.000 0.000 V
0.500 0.500 0.000 B
0.000 0.000 0.500 Os
0.000 0.500 0.500 Pt
0.500 0.000 0.500 Pt
```


Compound: PuB4Os
Source: Alexandria via LeMat-Bulk
Functional: PBE-GGA
Structure: optimized geometry

Properties
* volume: 123.4 Å³/cell

The structure in POSCAR format:
```
PuB4Os
1.0
3.692 -4.728 0.000
3.692 4.728 0.000
0.000 0.000 3.535
Pu B Os
2 8 2
direct
0.200 0.800 0.000 Pu
0.800 0.200 0.000 Pu
0.120 0.437 0.500 B
0.123 0.123 0.500 B
0.408 0.592 0.500 B
0.437 0.120 0.500 B
0.563 0.880 0.500 B
0.592 0.408 0.500 B
0.877 0.877 0.500 B
0.880 0.563 0.500 B
0.316 0.316 0.000 Os
0.684 0.684 0.000 Os
```


Number 1: uncorrected energy -8.17 eV per atom, density of states at the Fermi level 3.603 states/eV/cell. Number 2: uncorrected energy -5.86 eV per atom, density of states at the Fermi level 6.171 states/eV/cell. Number 3: uncorrected energy -9.20 eV per atom, density of states at the Fermi level 11.917 states/eV/cell.